Entry 1:
# GGA-PBEsol Ba3Er4O9, optimized geometry
data_Ba3Er4O9
_symmetry_space_group_name_H-M 'R 3'
_symmetry_Int_Tables_number 146
_symmetry_space_group_name_Hall 'R 3'
_cell_length_a 6.0184
_cell_length_b 6.0184
_cell_length_c 25.0315
_cell_angle_alpha 90.00
_cell_angle_beta 90.00
_cell_angle_gamma 120.00
loop_
_atom_site_label
_atom_site_type_symbol
_atom_site_fract_x
_atom_site_fract_y
_atom_site_fract_z
Ba1 Ba 0.0000 0.0000 0.0000
Ba2 Ba 0.0000 0.0000 0.1644
Ba3 Ba 0.0000 0.0000 0.5861
Er1 Er 0.0000 0.0000 0.2999
Er2 Er 0.0000 0.0000 0.4249
Er3 Er 0.0000 0.0000 0.7392
Er4 Er 0.0000 0.0000 0.8638
O1 O 0.0012 0.4448 0.5821
O2 O 0.0122 0.5535 0.0251
O3 O 0.1173 0.7694 0.4708
# Theoretical density   7772 kg/m3
# Total magnetization   0.000 μB per atom
# V   785.2 Å³/cell
# Calculated total energy   -7.8467 eV per atom



Entry 2:
# GGA-PBEsol LiTlRe2, optimized geometry
data_LiTlRe2
_symmetry_space_group_name_H-M 'C m m 2'
_symmetry_Int_Tables_number 35
_cell_length_a 3.011
_cell_length_b 4.706
_cell_length_c 9.432
_cell_angle_alpha 90.00
_cell_angle_beta 90.00
_cell_angle_gamma 90.00
loop_
_symmetry_equiv_pos_as_xyz
'x,y,z'
'-x,-y,z'
'-x,y,z'
'x,-y,z'
'x+1/2,y+1/2,z'
'-x+1/2,-y+1/2,z'
'-x+1/2,y+1/2,z'
'x+1/2,-y+1/2,z'
loop_
_atom_site_label
_atom_site_type_symbol
_atom_site_fract_x
_atom_site_fract_y
_atom_site_fract_z
Li1 Li 0.000 0.000 0.000
Tl1 Tl 0.000 0.500 0.737
Re1 Re 0.000 0.000 0.459
Re2 Re 0.000 0.500 0.239
# Theoretical density   14503 kg/m3
# ΔE to the lowest computed polymorph   0 meV/atom
# Total magnetization   0.000 μB per atom
# V   133.7 Å³/cell



Entry 3:
# GGA-PBEsol KPtW2, optimized geometry
data_KPtW2
_symmetry_space_group_name_H-M 'P 4/m m m'
_symmetry_Int_Tables_number 123
_symmetry_space_group_name_Hall '-P 4 2'
_cell_length_a 4.987
_cell_length_b 4.987
_cell_length_c 2.737
_cell_angle_alpha 90.00
_cell_angle_beta 90.00
_cell_angle_gamma 90.00
loop_
_atom_site_label
_atom_site_type_symbol
_atom_site_fract_x
_atom_site_fract_y
_atom_site_fract_z
K1 K 0.000 0.000 0.000
Pt1 Pt 0.500 0.500 0.000
W1 W 0.000 0.500 0.500
# Theoretical density   14687 kg/m3
# ΔE to the lowest computed polymorph   752 meV/atom
# Total magnetization   0.000 μB per atom
# V   68.0 Å³/cell



Entry 4:
# GGA-PBEsol CsBaAsBr2, optimized geometry
data_CsBaAsBr2
_symmetry_space_group_name_H-M 'P 4/m m m'
_symmetry_Int_Tables_number 123
_symmetry_space_group_name_Hall '-P 4 2'
_cell_length_a 6.209
_cell_length_b 6.209
_cell_length_c 5.743
_cell_angle_alpha 90.00
_cell_angle_beta 90.00
_cell_angle_gamma 90.00
loop_
_atom_site_label
_atom_site_type_symbol
_atom_site_fract_x
_atom_site_fract_y
_atom_site_fract_z
Cs1 Cs 0.000 0.000 0.000
Ba1 Ba 0.500 0.500 0.500
As1 As 0.000 0.000 0.500
Br1 Br 0.000 0.500 0.000
# Theoretical density   3787 kg/m3
# Total magnetization   0.172 μB per atom
# V   221.4 Å³/cell
# Calculated total energy   -2.8958 eV per atom